[1]
Crystalline BeCu2P at its relaxed geometry, computed with GGA-PBE.

```
4
Lattice="-1.804 2.682 2.529 -3.207 2.552 0.225 -2.900 -2.813 1.923" Properties=species:S:1:pos:R:3 pbc="T T T"
Be -1.978 0.606 1.169
Cu -3.938 1.282 2.324
Cu -5.028 5.164 2.769
P -5.933 1.817 3.508
```

Calculated values
ΔH_f (0 K) (eV/atom): 0.103
Crystal system: monoclinic
Size of the total moment (μB/f.u.): 0.0
SG: No. 12

[2]
Crystalline Cs2YCoCl6 at its relaxed geometry, computed with GGA-PBE.

```
10
Lattice="7.367 0.000 0.000 0.000 7.367 0.000 3.683 3.683 5.217" Properties=species:S:1:pos:R:3 pbc="T T T"
Cl 7.367 7.367 2.662
Cl 1.882 5.484 0.000
Cl 5.484 1.882 0.000
Cl 1.882 1.882 0.000
Cl 5.484 5.484 0.000
Cl 3.683 3.683 2.556
Cs 7.367 3.683 2.609
Cs 3.683 7.367 2.609
Co 3.683 3.683 0.000
Y 0.000 0.000 0.000
```

Calculated values
Crystal system: tetragonal
Size of the total moment (μB/f.u.): 2.0
Formation energy (no corrections) (eV/atom): -1.708
SG: No. 139